# AcTbTm6, relaxed, DFT PBE
data_AcTbTm6
_cell_length_a 9.6092
_cell_length_b 6.9111
_cell_length_c 8.8162
_cell_angle_alpha 90.00
_cell_angle_beta 102.72
_cell_angle_gamma 90.00
_symmetry_space_group_name_H-M 'C 1 2/m 1'
_symmetry_Int_Tables_number 12
loop_
_symmetry_equiv_pos_as_xyz
'x,y,z'
'-x,-y,-z'
'-x,y,-z'
'x,-y,z'
'x+1/2,y+1/2,z'
'-x+1/2,-y+1/2,-z'
'-x+1/2,y+1/2,-z'
'x+1/2,-y+1/2,z'
loop_
_atom_site_label
_atom_site_type_symbol
_atom_site_fract_x
_atom_site_fract_y
_atom_site_fract_z
_atom_site_occupancy
Ac1 Ac 0.0000 0.0000 0.0000 1
Tb1 Tb 0.0000 0.5000 0.5000 1
Tm1 Tm 0.1217 0.5000 0.9174 1
Tm2 Tm 0.2170 0.2607 0.2992 1
# Volume = 35.69 Å³ per atom
# Magnetization = 0.0 μB per cell
# Uncorrected energy = -4.0346 eV per atom